{"formula": "LiVPO5", "functional": "PBE with a Hubbard U", "state": "relaxed", "e_above_lowest_polymorph_ev_per_atom": 0.028, "sg": "No. 15", "lattice": [[6.877, -2.642, 0.000], [6.877, 2.642, 0.000], [-4.407, 0.000, 9.608]], "species": ["Li", "Li", "Li", "Li", "V", "V", "V", "V", "P", "P", "P", "P", "O", "O", "O", "O", "O", "O", "O", "O", "O", "O", "O", "O", "O", "O", "O", "O", "O", "O", "O", "O"], "frac_coords": [[0.000, 0.000, 0.000], [0.000, 0.000, 0.500], [0.000, 0.500, 0.000], [0.500, 0.000, 0.500], [0.000, 0.500, 0.500], [0.024, 0.976, 0.750], [0.500, 0.000, 0.000], [0.976, 0.024, 0.250], [0.360, 0.392, 0.312], [0.392, 0.360, 0.812], [0.608, 0.640, 0.188], [0.640, 0.608, 0.688], [0.075, 0.179, 0.411], [0.179, 0.075, 0.911], [0.180, 0.705, 0.336], [0.222, 0.670, 0.848], [0.293, 0.300, 0.156], [0.295, 0.820, 0.164], [0.299, 0.339, 0.411], [0.300, 0.293, 0.656], [0.330, 0.778, 0.652], [0.339, 0.299, 0.911], [0.661, 0.701, 0.089], [0.670, 0.222, 0.348], [0.700, 0.707, 0.344], [0.701, 0.661, 0.589], [0.705, 0.180, 0.836], [0.707, 0.700, 0.844], [0.778, 0.330, 0.152], [0.820, 0.295, 0.664], [0.821, 0.925, 0.089], [0.925, 0.821, 0.589]]}

---

{"formula": "Li3VP3O11", "functional": "PBE with a Hubbard U", "state": "relaxed", "final_energy_ev_per_atom": -6.869, "sg": "No. 2", "lattice": [[5.928, 0.000, 0.000], [-1.812, 8.361, 0.000], [-2.855, -3.195, 8.828]], "species": ["Li", "Li", "Li", "Li", "Li", "Li", "V", "V", "P", "P", "P", "P", "P", "P", "O", "O", "O", "O", "O", "O", "O", "O", "O", "O", "O", "O", "O", "O", "O", "O", "O", "O", "O", "O", "O", "O"], "frac_coords": [[0.117, 0.398, 0.060], [0.246, 0.136, 0.548], [0.247, 0.046, 0.107], [0.753, 0.954, 0.893], [0.754, 0.864, 0.452], [0.883, 0.602, 0.940], [0.347, 0.552, 0.736], [0.653, 0.448, 0.264], [0.212, 0.924, 0.767], [0.255, 0.557, 0.392], [0.486, 0.710, 0.102], [0.514, 0.290, 0.898], [0.745, 0.443, 0.608], [0.788, 0.076, 0.233], [0.021, 0.482, 0.718], [0.074, 0.937, 0.618], [0.079, 0.931, 0.880], [0.213, 0.634, 0.062], [0.236, 0.475, 0.514], [0.334, 0.431, 0.276], [0.342, 0.318, 0.761], [0.348, 0.787, 0.760], [0.411, 0.738, 0.446], [0.431, 0.341, 0.036], [0.472, 0.087, 0.851], [0.528, 0.913, 0.149], [0.569, 0.659, 0.964], [0.589, 0.262, 0.554], [0.652, 0.213, 0.240], [0.658, 0.682, 0.239], [0.666, 0.569, 0.724], [0.764, 0.525, 0.486], [0.787, 0.366, 0.938], [0.921, 0.069, 0.120], [0.926, 0.063, 0.382], [0.979, 0.518, 0.282]]}

---

{"formula": "Li2VP4O13", "functional": "PBE with a Hubbard U", "state": "relaxed", "dos_at_fermi_per_ev_fu": 0.0, "final_energy_ev_per_atom": -7.047, "sg": "No. 2", "lattice": [[5.141, 0.000, 0.000], [1.239, 7.836, 0.000], [0.571, 3.651, 12.852]], "species": ["Li", "Li", "Li", "Li", "V", "V", "P", "P", "P", "P", "P", "P", "P", "P", "O", "O", "O", "O", "O", "O", "O", "O", "O", "O", "O", "O", "O", "O", "O", "O", "O", "O", "O", "O", "O", "O", "O", "O", "O", "O"], "frac_coords": [[0.001, 0.221, 0.492], [0.414, 0.184, 0.977], [0.586, 0.816, 0.023], [0.999, 0.779, 0.508], [0.042, 0.477, 0.746], [0.958, 0.523, 0.254], [0.150, 0.910, 0.175], [0.162, 0.880, 0.694], [0.412, 0.655, 0.364], [0.497, 0.622, 0.851], [0.503, 0.378, 0.149], [0.588, 0.345, 0.636], [0.838, 0.120, 0.306], [0.850, 0.090, 0.825], [0.003, 0.920, 0.794], [0.033, 0.735, 0.666], [0.042, 0.222, 0.822], [0.176, 0.040, 0.607], [0.208, 0.451, 0.161], [0.241, 0.522, 0.346], [0.287, 0.973, 0.074], [0.292, 0.414, 0.649], [0.329, 0.481, 0.839], [0.349, 0.709, 0.461], [0.365, 0.829, 0.264], [0.442, 0.692, 0.942], [0.443, 0.788, 0.744], [0.557, 0.212, 0.256], [0.558, 0.308, 0.058], [0.635, 0.171, 0.736], [0.651, 0.291, 0.539], [0.671, 0.519, 0.161], [0.708, 0.586, 0.351], [0.713, 0.027, 0.926], [0.759, 0.478, 0.654], [0.792, 0.549, 0.839], [0.824, 0.960, 0.393], [0.958, 0.778, 0.178], [0.967, 0.265, 0.334], [0.997, 0.080, 0.206]]}

---

{"formula": "Li2V2P3O12", "functional": "PBE with a Hubbard U", "state": "relaxed", "e_above_lowest_polymorph_ev_per_atom": 0.827, "dos_at_fermi_per_ev_fu": 0.0, "sg": "No. 2", "lattice": [[7.714, 0.000, 0.000], [2.177, 8.107, 0.000], [0.838, 3.005, 8.502]], "species": ["Li", "Li", "Li", "Li", "V", "V", "V", "V", "P", "P", "P", "P", "P", "P", "O", "O", "O", "O", "O", "O", "O", "O", "O", "O", "O", "O", "O", "O", "O", "O", "O", "O", "O", "O", "O", "O", "O", "O"], "frac_coords": [[0.204, 0.423, 0.173], [0.275, 0.019, 0.291], [0.725, 0.981, 0.709], [0.796, 0.577, 0.827], [0.110, 0.148, 0.894], [0.377, 0.375, 0.587], [0.623, 0.625, 0.413], [0.890, 0.852, 0.106], [0.033, 0.738, 0.558], [0.117, 0.776, 0.861], [0.451, 0.782, 0.959], [0.549, 0.218, 0.041], [0.883, 0.224, 0.139], [0.967, 0.262, 0.442], [0.011, 0.031, 0.138], [0.018, 0.269, 0.249], [0.066, 0.666, 0.035], [0.089, 0.937, 0.499], [0.151, 0.314, 0.681], [0.226, 0.632, 0.557], [0.252, 0.345, 0.799], [0.289, 0.434, 0.380], [0.340, 0.971, 0.942], [0.387, 0.213, 0.152], [0.469, 0.461, 0.371], [0.484, 0.819, 0.363], [0.516, 0.181, 0.637], [0.531, 0.539, 0.629], [0.613, 0.787, 0.848], [0.660, 0.029, 0.058], [0.711, 0.566, 0.620], [0.748, 0.655, 0.201], [0.774, 0.368, 0.443], [0.849, 0.686, 0.319], [0.911, 0.063, 0.501], [0.934, 0.334, 0.965], [0.982, 0.731, 0.751], [0.989, 0.969, 0.862]]}

---

{"formula": "LiVPO4", "functional": "PBE with a Hubbard U", "state": "relaxed", "e_above_lowest_polymorph_ev_per_atom": 0.083, "dos_at_fermi_per_ev_fu": 0.0, "sg": "No. 148", "lattice": [[2.497, 1.442, 7.913], [-2.497, 1.442, 7.913], [0.000, -2.884, 7.913]], "species": ["Li", "Li", "V", "V", "P", "P", "O", "O", "O", "O", "O", "O", "O", "O"], "frac_coords": [[0.218, 0.218, 0.218], [0.782, 0.782, 0.782], [0.340, 0.340, 0.340], [0.660, 0.660, 0.660], [0.077, 0.077, 0.077], [0.923, 0.923, 0.923], [0.027, 0.365, 0.771], [0.140, 0.140, 0.140], [0.229, 0.973, 0.635], [0.365, 0.771, 0.027], [0.635, 0.229, 0.973], [0.771, 0.027, 0.365], [0.860, 0.860, 0.860], [0.973, 0.635, 0.229]]}

---

{"formula": "Li7V4P9O32", "functional": "PBE with a Hubbard U", "state": "relaxed", "dos_at_fermi_per_ev_fu": 0.0, "final_energy_ev_per_atom": -7.074, "sg": "No. 114", "lattice": [[13.926, 0.000, 0.000], [0.000, 13.926, 0.000], [0.000, 0.000, 6.422]], "species": ["Li", "Li", "Li", "Li", "Li", "Li", "Li", "Li", "Li", "Li", "Li", "Li", "Li", "Li", "V", "V", "V", "V", "V", "V", "V", "V", "P", "P", "P", "P", "P", "P", "P", "P", "P", "P", "P", "P", "P", "P", "P", "P", "P", "P", "O", "O", "O", "O", "O", "O", "O", "O", "O", "O", "O", "O", "O", "O", "O", "O", "O", "O", "O", "O", "O", "O", "O", "O", "O", "O", "O", "O", "O", "O", "O", "O", "O", "O", "O", "O", "O", "O", "O", "O", "O", "O", "O", "O", "O", "O", "O", "O", "O", "O", "O", "O", "O", "O", "O", "O", "O", "O", "O", "O", "O", "O", "O", "O"], "frac_coords": [[0.000, 0.000, 0.000], [0.000, 0.500, 0.134], [0.000, 0.500, 0.634], [0.110, 0.257, 0.804], [0.243, 0.390, 0.304], [0.257, 0.890, 0.196], [0.390, 0.757, 0.696], [0.500, 0.000, 0.366], [0.500, 0.000, 0.866], [0.500, 0.500, 0.500], [0.610, 0.243, 0.696], [0.743, 0.110, 0.196], [0.757, 0.610, 0.304], [0.890, 0.743, 0.804], [0.121, 0.805, 0.622], [0.195, 0.121, 0.378], [0.305, 0.621, 0.122], [0.379, 0.305, 0.878], [0.621, 0.695, 0.878], [0.695, 0.379, 0.122], [0.805, 0.879, 0.378], [0.879, 0.195, 0.622], [0.000, 0.000, 0.500], [0.059, 0.308, 0.383], [0.108, 0.753, 0.133], [0.192, 0.441, 0.883], [0.247, 0.108, 0.867], [0.253, 0.608, 0.633], [0.308, 0.941, 0.617], [0.392, 0.253, 0.367], [0.441, 0.808, 0.117], [0.500, 0.500, 0.000], [0.559, 0.192, 0.117], [0.608, 0.747, 0.367], [0.692, 0.059, 0.617], [0.747, 0.392, 0.633], [0.753, 0.892, 0.867], [0.808, 0.559, 0.883], [0.892, 0.247, 0.133], [0.941, 0.692, 0.383], [0.004, 0.272, 0.172], [0.013, 0.257, 0.573], [0.055, 0.416, 0.387], [0.062, 0.937, 0.648], [0.063, 0.062, 0.352], [0.084, 0.445, 0.887], [0.107, 0.812, 0.934], [0.142, 0.819, 0.312], [0.159, 0.663, 0.622], [0.162, 0.270, 0.349], [0.163, 0.659, 0.122], [0.181, 0.142, 0.688], [0.188, 0.107, 0.066], [0.228, 0.496, 0.672], [0.230, 0.338, 0.849], [0.243, 0.487, 0.073], [0.257, 0.987, 0.427], [0.270, 0.838, 0.651], [0.272, 0.996, 0.828], [0.312, 0.607, 0.434], [0.319, 0.642, 0.812], [0.337, 0.159, 0.378], [0.338, 0.770, 0.151], [0.341, 0.163, 0.878], [0.358, 0.319, 0.188], [0.393, 0.312, 0.566], [0.416, 0.945, 0.613], [0.437, 0.562, 0.148], [0.438, 0.437, 0.852], [0.445, 0.916, 0.113], [0.487, 0.757, 0.927], [0.496, 0.772, 0.328], [0.504, 0.228, 0.328], [0.513, 0.243, 0.927], [0.555, 0.084, 0.113], [0.562, 0.563, 0.852], [0.563, 0.438, 0.148], [0.584, 0.055, 0.613], [0.607, 0.688, 0.566], [0.642, 0.681, 0.188], [0.659, 0.837, 0.878], [0.662, 0.230, 0.151], [0.663, 0.841, 0.378], [0.681, 0.358, 0.812], [0.688, 0.393, 0.434], [0.728, 0.004, 0.828], [0.730, 0.162, 0.651], [0.743, 0.013, 0.427], [0.757, 0.513, 0.073], [0.770, 0.662, 0.849], [0.772, 0.504, 0.672], [0.812, 0.893, 0.066], [0.819, 0.858, 0.688], [0.837, 0.341, 0.122], [0.838, 0.730, 0.349], [0.841, 0.337, 0.622], [0.858, 0.181, 0.312], [0.893, 0.188, 0.934], [0.916, 0.555, 0.887], [0.937, 0.938, 0.352], [0.938, 0.063, 0.648], [0.945, 0.584, 0.387], [0.987, 0.743, 0.573], [0.996, 0.728, 0.172]]}

---

{"formula": "LiVPO5", "functional": "PBE with a Hubbard U", "state": "relaxed", "e_above_lowest_polymorph_ev_per_atom": 0.060, "sg": "No. 2", "lattice": [[5.607, 0.000, 0.000], [-0.475, 6.022, 0.000], [-2.392, -2.877, 6.291]], "species": ["Li", "Li", "V", "V", "P", "P", "O", "O", "O", "O", "O", "O", "O", "O", "O", "O"], "frac_coords": [[0.209, 0.184, 0.105], [0.791, 0.816, 0.895], [0.327, 0.400, 0.785], [0.673, 0.600, 0.215], [0.204, 0.840, 0.664], [0.796, 0.160, 0.336], [0.018, 0.702, 0.429], [0.068, 0.902, 0.819], [0.287, 0.475, 0.022], [0.381, 0.075, 0.695], [0.402, 0.677, 0.716], [0.598, 0.323, 0.284], [0.619, 0.925, 0.305], [0.713, 0.525, 0.978], [0.932, 0.098, 0.181], [0.982, 0.298, 0.571]]}

---

{"formula": "LiV2PO6", "functional": "PBE with a Hubbard U", "state": "relaxed", "final_energy_ev_per_atom": -7.228, "sg": "No. 1", "lattice": [[4.947, 0.000, 0.000], [-2.407, 4.326, 0.000], [-2.446, -1.460, 4.545]], "species": ["Li", "V", "V", "P", "O", "O", "O", "O", "O", "O"], "frac_coords": [[0.000, 0.000, 0.000], [0.531, 0.272, 0.794], [0.551, 0.788, 0.335], [0.924, 0.465, 0.387], [0.036, 0.384, 0.141], [0.043, 0.235, 0.585], [0.356, 0.816, 0.586], [0.488, 0.105, 0.141], [0.755, 0.656, 0.143], [0.769, 0.550, 0.585]]}

---

{"formula": "Li4V7P6O24", "functional": "PBE with a Hubbard U", "state": "relaxed", "dos_at_fermi_per_ev_fu": 0.0, "final_energy_ev_per_atom": -7.273, "sg": "No. 8", "lattice": [[5.622, -7.034, 0.000], [5.622, 7.034, 0.000], [-1.668, 0.000, 6.458]], "species": ["Li", "Li", "Li", "Li", "V", "V", "V", "V", "V", "V", "V", "P", "P", "P", "P", "P", "P", "O", "O", "O", "O", "O", "O", "O", "O", "O", "O", "O", "O", "O", "O", "O", "O", "O", "O", "O", "O", "O", "O", "O", "O"], "frac_coords": [[0.000, 0.000, 0.000], [0.297, 0.297, 0.842], [0.520, 0.775, 0.921], [0.775, 0.520, 0.921], [0.121, 0.504, 0.231], [0.146, 0.146, 0.419], [0.172, 0.788, 0.607], [0.504, 0.121, 0.231], [0.526, 0.767, 0.420], [0.767, 0.526, 0.420], [0.788, 0.172, 0.607], [0.048, 0.433, 0.706], [0.245, 0.859, 0.132], [0.433, 0.048, 0.706], [0.455, 0.455, 0.476], [0.838, 0.838, 0.362], [0.859, 0.245, 0.132], [0.036, 0.256, 0.634], [0.037, 0.256, 0.203], [0.111, 0.535, 0.557], [0.140, 0.810, 0.917], [0.154, 0.480, 0.920], [0.182, 0.757, 0.281], [0.256, 0.036, 0.634], [0.256, 0.037, 0.203], [0.350, 0.350, 0.584], [0.364, 0.543, 0.338], [0.423, 0.856, 0.144], [0.438, 0.871, 0.696], [0.480, 0.154, 0.920], [0.535, 0.111, 0.557], [0.543, 0.364, 0.338], [0.590, 0.590, 0.627], [0.703, 0.703, 0.210], [0.750, 0.929, 0.500], [0.757, 0.182, 0.281], [0.810, 0.140, 0.917], [0.856, 0.423, 0.144], [0.871, 0.438, 0.696], [0.929, 0.750, 0.500], [0.943, 0.943, 0.254]]}

---

{"formula": "LiVPO4", "functional": "PBE with a Hubbard U", "state": "relaxed", "e_above_lowest_polymorph_ev_per_atom": 0.086, "dos_at_fermi_per_ev_fu": 0.0, "sg": "No. 74", "lattice": [[-2.852, 2.984, 4.041], [2.852, -2.984, 4.041], [2.852, 2.984, -4.041]], "species": ["Li", "Li", "V", "V", "P", "P", "O", "O", "O", "O", "O", "O", "O", "O"], "frac_coords": [[0.500, 0.000, 0.000], [0.500, 0.500, 0.500], [0.000, 0.000, 0.000], [0.500, 0.000, 0.500], [0.122, 0.372, 0.750], [0.878, 0.628, 0.250], [0.201, 0.734, 0.467], [0.233, 0.266, 0.967], [0.239, 0.265, 0.527], [0.239, 0.712, 0.973], [0.761, 0.288, 0.027], [0.761, 0.735, 0.473], [0.767, 0.734, 0.033], [0.799, 0.266, 0.533]]}

---

| no. | magnetic moment (Bohr magnetons per cell) | volume (Å³ per cell) | calculated density (Mg/m³) |
| --- | --- | --- | --- |
| 1 | 4.00 | 349.1 | 3.21 |
| 2 | 1.99 | 437.5 | 2.59 |
| 3 | 1.85 | 517.7 | 2.54 |
| 4 | 3.97 | 531.6 | 2.50 |
| 5 | 6.00 | 171.0 | 2.97 |
| 6 | 16.00 | 1245.5 | 2.78 |
| 7 | 2.00 | 212.4 | 2.64 |
| 8 | 4.00 | 97.3 | 4.03 |
| 9 | 21.00 | 510.7 | 3.10 |
| 10 | 6.00 | 137.5 | 3.69 |